Here is KSi2NiB after structural relaxation from the Alexandria database. Energies are from PBE.

abc: 4.125 5.145 4.125
angles: 90.00 90.00 90.00
Fractional positions:
Ni 0.500 0.500 0.500
K 0.000 0.500 0.000
B 0.000 0.000 0.000
Si 0.000 0.000 0.500
Si 0.500 0.000 0.000

Properties
Total energy ... -19.11 eV per cell
Total moment ... 0.000 μB/atom
Energy relative to the elements, uncorrected ... 1.0586 eV per atom
N(E_F) ... 2.66 states/eV/f.u.